(1)
Material: NaSr3Pt
Method: DFT, PBE
State: optimized geometry

The structure belongs to space group Fd-3m (No. 227, origin choice 2); the cell edges are 15.974, 15.974 and 15.974 Å and the angles 90.00°, 90.00° and 90.00°. The asymmetric unit holds Na at (0.000, 0.000, 0.000), Sr at (0.064, 0.375, 0.875) and Pt at (0.000, 0.000, 0.500).

The size of the total moment comes out at 0.000 μB/atom. As for the crystal system: cubic. The value obtained for the total energy is -224.4 eV/cell. As for the formation energy: -0.32 eV per atom. For the density of states at the Fermi level, the calculation gives 0.30 states/eV/f.u. The value obtained for the offset from the most stable computed form is 10.9 kJ per mole of atoms.


(2)
Material: MgMn2B
Method: DFT, PBE
State: optimized geometry

The structure belongs to space group Fm-3m (No. 225); the cell edges are 5.639, 5.639 and 5.639 Å and the angles 90.00°, 90.00° and 90.00°. The asymmetric unit holds Mg at (0.000, 0.000, 0.000), Mn at (0.250, 0.250, 0.250) and B at (0.000, 0.000, 0.500).

The size of the total moment comes out at 1.170 μB/atom. As for the crystal system: cubic. The value obtained for the total energy is -98.8 eV/cell. As for the formation energy: 0.47 eV per atom. For the density of states at the Fermi level, the calculation gives 2.15 states/eV/f.u. The value obtained for the offset from the most stable computed form is 0.0 kJ per mole of atoms.


Repeat the first record exactly.
Material: NaSr3Pt
Method: DFT, PBE
State: optimized geometry

The structure belongs to space group Fd-3m (No. 227, origin choice 2); the cell edges are 15.974, 15.974 and 15.974 Å and the angles 90.00°, 90.00° and 90.00°. The asymmetric unit holds Na at (0.000, 0.000, 0.000), Sr at (0.064, 0.375, 0.875) and Pt at (0.000, 0.000, 0.500).

The size of the total moment comes out at 0.000 μB/atom. As for the crystal system: cubic. The value obtained for the total energy is -224.4 eV/cell. As for the formation energy: -0.32 eV per atom. For the density of states at the Fermi level, the calculation gives 0.30 states/eV/f.u. The value obtained for the offset from the most stable computed form is 10.9 kJ per mole of atoms.